Record 1
First-principles (SCAN) data for a PBEsol-optimized structure of Mn2OsCl, as listed in Alexandria via LeMat-Bulk.

Its electronic total energy is -28.273 eV/atom. The value obtained for the formation energy without anion corrections is 18.90 kcal/mol of atoms. The value obtained for the excess energy over the best structure of this formula in the dataset is 64.6 kJ per mole of atoms. The density is 10.357 g cm⁻³. Its space group is Fm-3m.

```
16
Lattice="5.993 0.000 0.000 0.000 5.993 0.000 0.000 0.000 5.993" Properties=species:S:1:pos:R:3 pbc="T T T"
Mn 1.498 1.498 1.498
Mn 1.498 1.498 4.494
Mn 1.498 4.494 1.498
Mn 1.498 4.494 4.494
Mn 4.494 1.498 1.498
Mn 4.494 1.498 4.494
Mn 4.494 4.494 1.498
Mn 4.494 4.494 4.494
Os 0.000 0.000 0.000
Os 0.000 2.996 2.996
Os 2.996 0.000 2.996
Os 2.996 2.996 0.000
Cl 0.000 0.000 2.996
Cl 0.000 2.996 0.000
Cl 2.996 0.000 0.000
Cl 2.996 2.996 2.996
```

Record 2
First-principles (SCAN) data for a PBEsol-optimized structure of K2NiOs, as listed in Alexandria via LeMat-Bulk.

Its electronic total energy is -25.431 eV/atom. The value obtained for the excess energy over the best structure of this formula in the dataset is 0.0 kJ per mole of atoms. The density is 4.988 g cm⁻³. Its space group is Immm. As for the formation energy from the elements: 2.988 eV per formula unit.

```
8
Lattice="2.705 0.000 0.000 0.000 4.111 0.000 0.000 0.000 19.585" Properties=species:S:1:pos:R:3 pbc="T T T"
K 0.000 0.000 2.717
K 0.000 0.000 16.868
K 1.353 2.056 7.076
K 1.353 2.056 12.509
Ni 0.000 2.056 9.792
Ni 1.353 0.000 0.000
Os 0.000 2.056 0.000
Os 1.353 0.000 9.792
```

Record 3
First-principles (SCAN) data for a PBEsol-optimized structure of SiHg2Sb, as listed in Alexandria via LeMat-Bulk.

Its electronic total energy is -45.535 eV/atom. The value obtained for the formation energy without anion corrections is 8.47 kcal/mol of atoms. The value obtained for the excess energy over the best structure of this formula in the dataset is 17.0 kJ per mole of atoms. The density is 10.228 g cm⁻³. Its space group is I-42d.

```
16
Lattice="7.795 0.000 0.000 0.000 7.795 0.000 0.000 0.000 5.889" Properties=species:S:1:pos:R:3 pbc="T T T"
Si 0.000 0.000 0.000
Si 0.000 3.898 1.472
Si 3.898 0.000 4.417
Si 3.898 3.898 2.944
Hg 1.730 5.846 0.736
Hg 1.949 1.730 5.153
Hg 1.949 2.168 2.208
Hg 2.168 5.846 3.681
Hg 5.628 1.949 3.681
Hg 5.846 5.628 2.208
Hg 5.846 6.065 5.153
Hg 6.065 1.949 0.736
Sb 0.000 0.000 2.944
Sb 0.000 3.898 4.417
Sb 3.898 0.000 1.472
Sb 3.898 3.898 0.000
```

Record 4
First-principles (SCAN) data for a PBEsol-optimized structure of Pr3IrBr3, as listed in Alexandria via LeMat-Bulk.

Its electronic total energy is -38.701 eV/atom. The value obtained for the formation energy without anion corrections is -37.73 kcal/mol of atoms. The density is 6.680 g cm⁻³. Its space group is I4_132.

```
28
Lattice="-5.967 5.967 5.967 5.967 -5.967 5.967 5.967 5.967 -5.967" Properties=species:S:1:pos:R:3 pbc="T T T"
Pr 1.656 1.492 -1.328
Pr 7.295 1.656 -1.492
Pr 1.492 -1.328 1.656
Pr 4.640 4.311 -1.492
Pr 4.311 1.492 1.328
Pr -1.328 1.656 1.492
Pr 4.311 -1.492 4.640
Pr 1.492 1.328 4.311
Pr 1.328 4.311 1.492
Pr 1.656 -1.492 7.295
Pr -1.492 7.295 1.656
Pr -1.492 4.640 4.311
Ir 4.475 1.492 -1.492
Ir 1.492 1.492 1.492
Ir 1.492 -1.492 4.475
Ir -1.492 4.475 1.492
Br 7.459 1.407 1.576
Br 7.459 -1.407 4.391
Br 4.391 7.459 -1.407
Br 4.560 1.576 4.475
Br 4.475 4.560 1.576
Br 1.576 7.459 1.407
Br 7.374 4.391 4.475
Br 1.576 4.475 4.560
Br 1.407 1.576 7.459
Br 4.475 7.374 4.391
Br -1.407 4.391 7.459
Br 4.391 4.475 7.374
```

Record 5
First-principles (SCAN) data for a PBEsol-optimized structure of Cs3CdCo, as listed in Alexandria via LeMat-Bulk.

Its electronic total energy is -31.639 eV/atom. The density is 3.795 g cm⁻³. Its space group is Pm-3m. As for the formation energy from the elements: 2.957 eV per formula unit.

```
5
Lattice="6.295 0.000 0.000 0.000 6.295 0.000 0.000 0.000 6.295" Properties=species:S:1:pos:R:3 pbc="T T T"
Cs 0.000 0.000 3.147
Cs 0.000 3.147 0.000
Cs 3.147 0.000 0.000
Cd 3.147 3.147 3.147
Co 0.000 0.000 0.000
```

Record 6
First-principles (SCAN) data for a PBEsol-optimized structure of CdPd3, as listed in Alexandria via LeMat-Bulk.

Its electronic total energy is -32.446 eV/atom. The density is 11.632 g cm⁻³. Its space group is Pm-3m. As for the formation energy from the elements: -1.046 eV per formula unit.

```
4
Lattice="3.950 0.000 0.000 0.000 3.950 0.000 0.000 0.000 3.950" Properties=species:S:1:pos:R:3 pbc="T T T"
Cd 0.000 0.000 0.000
Pd 0.000 1.975 1.975
Pd 1.975 0.000 1.975
Pd 1.975 1.975 0.000
```

What did the first record say?
First-principles (SCAN) data for a PBEsol-optimized structure of Mn2OsCl, as listed in Alexandria via LeMat-Bulk.

Its electronic total energy is -28.273 eV/atom. The value obtained for the formation energy without anion corrections is 18.90 kcal/mol of atoms. The value obtained for the excess energy over the best structure of this formula in the dataset is 64.6 kJ per mole of atoms. The density is 10.357 g cm⁻³. Its space group is Fm-3m.

```
16
Lattice="5.993 0.000 0.000 0.000 5.993 0.000 0.000 0.000 5.993" Properties=species:S:1:pos:R:3 pbc="T T T"
Mn 1.498 1.498 1.498
Mn 1.498 1.498 4.494
Mn 1.498 4.494 1.498
Mn 1.498 4.494 4.494
Mn 4.494 1.498 1.498
Mn 4.494 1.498 4.494
Mn 4.494 4.494 1.498
Mn 4.494 4.494 4.494
Os 0.000 0.000 0.000
Os 0.000 2.996 2.996
Os 2.996 0.000 2.996
Os 2.996 2.996 0.000
Cl 0.000 0.000 2.996
Cl 0.000 2.996 0.000
Cl 2.996 0.000 0.000
Cl 2.996 2.996 2.996
```

Question: Which of these has the lowest electronic total energy?
Answer: SiHg2Sb

What did the first record say?
First-principles (SCAN) data for a PBEsol-optimized structure of Mn2OsCl, as listed in Alexandria via LeMat-Bulk.

Its electronic total energy is -28.273 eV/atom. The value obtained for the formation energy without anion corrections is 18.90 kcal/mol of atoms. The value obtained for the excess energy over the best structure of this formula in the dataset is 64.6 kJ per mole of atoms. The density is 10.357 g cm⁻³. Its space group is Fm-3m.

```
16
Lattice="5.993 0.000 0.000 0.000 5.993 0.000 0.000 0.000 5.993" Properties=species:S:1:pos:R:3 pbc="T T T"
Mn 1.498 1.498 1.498
Mn 1.498 1.498 4.494
Mn 1.498 4.494 1.498
Mn 1.498 4.494 4.494
Mn 4.494 1.498 1.498
Mn 4.494 1.498 4.494
Mn 4.494 4.494 1.498
Mn 4.494 4.494 4.494
Os 0.000 0.000 0.000
Os 0.000 2.996 2.996
Os 2.996 0.000 2.996
Os 2.996 2.996 0.000
Cl 0.000 0.000 2.996
Cl 0.000 2.996 0.000
Cl 2.996 0.000 0.000
Cl 2.996 2.996 2.996
```